Density functional theory data (PBE-GGA) for a geometry-optimized Ti2CoMoH structure.

Lattice parameters (Å, degrees): 4.265 4.265 3.392 90.00 90.00 90.00
Fractional positions:
Ti  0.000  0.500  0.000
Ti  0.500  0.000  0.000
Co  0.000  0.000  0.500
Mo  0.500  0.500  0.500
H  0.500  0.500  0.000

Offset from the most stable computed form ... 114 meV/atom
VASP energy ... -7.57 eV per atom